VASP calculation (PBE) on a geometry-optimized Tl3Cd2Hg2 structure.

- ΔH_f (0 K) (kJ per mole of atoms) = 1.5
- space group = Cm (8)
- ρ (Mg/m³) = 10.66

a b c (Å): 3.3772 5.8717 10.3267
angles (deg): 83.59 80.59 73.29
Last column: nearest neighbours and their distance in Å.
Fractional positions:
Tl1 0.2004 0.5899 0.0092  3 Hg 3.25-3.48, 6 Tl 3.38-3.53
Tl2 0.5386 0.0951 0.8276  3 Hg 3.36-3.38, 2 Cd 3.37, 6 Tl 3.38-3.69
Tl3 0.3957 0.0380 0.1706  3 Hg 3.35-3.37, 2 Cd 3.35, 6 Tl 3.38-3.53
Cd1 0.0888 0.2713 0.5512  5 Cd 3.09-3.44, 4 Hg 3.17, 2 Tl 3.37
Cd2 0.8443 0.8661 0.4454  5 Cd 3.09-3.44, 4 Hg 3.17, 2 Tl 3.35
Hg1 0.3256 0.6588 0.6900  4 Cd 3.17, 4 Tl 3.25-3.38, 2 Hg 3.38
Hg2 0.6082 0.4777 0.3060  4 Cd 3.17, 5 Tl 3.35-3.48, 2 Hg 3.38